First-principles (GGA-PBE) data for an optimized crystal structure of NaPd, as listed in Alexandria.

The value obtained for the formation energy is 3 meV/atom. As for the theoretical density: 5.2 g/cm³.

The space group is Fddd (No. 70, origin choice 2) and the conventional cell measures 5.154, 8.357 and 15.247 Å, with angles of 90.00, 90.00 and 90.00 degrees. Symmetry generates all atoms from Na at (0.125, 0.289, 0.125) and Pd at (0.125, 0.125, 0.539).